(1)
DFT (PBE) results for CdFeSbMo after structural relaxation. Values from VASP.

Energy above the most stable polymorph in this dataset, eV/atom: 0.000

Cell and atoms, written as Quantum ESPRESSO input:
```
&SYSTEM
  ibrav = 0, nat = 4, ntyp = 4
/
ATOMIC_SPECIES
Cd 112.41 Cd.upf
Fe 55.84 Fe.upf
Sb 121.76 Sb.upf
Mo 95.94 Mo.upf
ATOMIC_POSITIONS angstrom
Cd 0.000 0.000 0.000
Fe 4.857 4.857 4.857
Sb 3.238 3.238 3.238
Mo 1.619 1.619 1.619
CELL_PARAMETERS angstrom
0.000 3.238 3.238
3.238 0.000 3.238
3.238 3.238 0.000
```

(2)
DFT (PBE) results for GdBAu after structural relaxation. Values from VASP.

VASP energy, eV per atom: -4.9706

Cell and atoms, written as Quantum ESPRESSO input:
```
&SYSTEM
  ibrav = 0, nat = 3, ntyp = 3
/
ATOMIC_SPECIES
Gd 157.25 Gd.upf
B 10.81 B.upf
Au 196.97 Au.upf
ATOMIC_POSITIONS angstrom
Gd 0.000 0.000 0.000
B 4.548 4.548 4.548
Au 3.032 3.032 3.032
CELL_PARAMETERS angstrom
0.000 3.032 3.032
3.032 0.000 3.032
3.032 3.032 0.000
```

(3)
DFT (PBE) results for HoInGeTe3 after structural relaxation. Values from VASP.

VASP energy, eV per atom: -4.1118

Cell and atoms, written as Quantum ESPRESSO input:
```
&SYSTEM
  ibrav = 0, nat = 12, ntyp = 4
/
ATOMIC_SPECIES
Ho 164.93 Ho.upf
In 114.82 In.upf
Ge 72.64 Ge.upf
Te 127.60 Te.upf
ATOMIC_POSITIONS angstrom
Ho 0.000 0.000 0.000
Ho 0.000 0.000 5.774
In 2.298 3.694 8.661
In 2.298 -3.694 2.887
Ge 2.298 0.503 2.887
Ge 2.298 -0.503 8.661
Te 2.298 6.228 2.887
Te 2.298 2.082 0.532
Te 2.298 2.082 5.242
Te 2.298 -2.082 6.306
Te 2.298 -2.082 11.016
Te 2.298 -6.228 8.661
CELL_PARAMETERS angstrom
2.298 -7.470 0.000
2.298 7.470 0.000
0.000 0.000 11.548
```

(4)
DFT (PBE) results for RbHfGaSe3 after structural relaxation. Values from VASP.

Energy above the most stable polymorph in this dataset, eV/atom: 0.091

Cell and atoms, written as Quantum ESPRESSO input:
```
&SYSTEM
  ibrav = 0, nat = 12, ntyp = 4
/
ATOMIC_SPECIES
Rb 85.47 Rb.upf
Hf 178.49 Hf.upf
Ga 69.72 Ga.upf
Se 78.96 Se.upf
ATOMIC_POSITIONS angstrom
Rb 1.910 4.917 8.589
Rb 1.910 -4.917 2.863
Hf 1.910 0.000 0.000
Hf 1.910 0.000 5.726
Ga 1.910 6.309 2.863
Ga 1.910 -6.309 8.589
Se 1.910 6.354 0.040
Se 1.910 6.354 5.686
Se 1.910 0.053 8.589
Se 1.910 -0.053 2.863
Se 1.910 -6.354 5.767
Se 1.910 -6.354 11.412
CELL_PARAMETERS angstrom
1.910 -8.200 0.000
1.910 8.200 0.000
0.000 0.000 11.453
```

(5)
DFT (PBE) results for Pd2SO5 after structural relaxation. Values from VASP.

VASP energy, eV per atom: -5.5814

Cell and atoms, written as Quantum ESPRESSO input:
```
&SYSTEM
  ibrav = 0, nat = 16, ntyp = 3
/
ATOMIC_SPECIES
Pd 106.42 Pd.upf
S 32.06 S.upf
O 16.00 O.upf
ATOMIC_POSITIONS angstrom
Pd 2.401 1.661 0.000
Pd -0.241 0.000 1.594
Pd 2.401 -1.661 0.000
Pd 5.826 0.000 5.051
S 1.185 0.000 4.475
S 4.400 0.000 2.170
O 1.357 0.000 0.035
O -0.174 0.000 4.982
O 3.612 1.216 1.740
O 1.228 0.000 2.987
O 1.973 1.216 4.904
O 3.612 -1.216 1.740
O 4.357 0.000 3.657
O 1.973 -1.216 4.904
O 5.758 0.000 1.663
O 4.228 0.000 6.610
CELL_PARAMETERS angstrom
4.802 -3.322 0.000
4.802 3.322 0.000
-4.020 0.000 6.645
```

(6)
DFT (PBE) results for Cu5Ag4 after structural relaxation. Values from VASP.

Formation enthalpy at 0 K, eV per atom: 0.077
Energy above the most stable polymorph in this dataset, eV/atom: 0.037

Cell and atoms, written as Quantum ESPRESSO input:
```
&SYSTEM
  ibrav = 0, nat = 9, ntyp = 2
/
ATOMIC_SPECIES
Cu 63.55 Cu.upf
Ag 107.87 Ag.upf
ATOMIC_POSITIONS angstrom
Cu 0.000 0.000 0.000
Cu 1.549 0.000 1.962
Cu 6.306 0.000 1.986
Cu 5.196 0.000 6.624
Cu 7.961 0.000 3.983
Ag -1.218 0.000 4.283
Ag 0.755 0.000 6.341
Ag 3.227 0.000 4.472
Ag 10.839 0.000 1.997
CELL_PARAMETERS angstrom
6.924 -1.417 0.000
6.924 1.417 0.000
-3.860 0.000 6.753
```

(7)
DFT (PBE) results for PrMoPb after structural relaxation. Values from VASP.

Energy above the most stable polymorph in this dataset, eV/atom: 0.000

Cell and atoms, written as Quantum ESPRESSO input:
```
&SYSTEM
  ibrav = 0, nat = 3, ntyp = 3
/
ATOMIC_SPECIES
Pr 140.91 Pr.upf
Mo 95.94 Mo.upf
Pb 207.20 Pb.upf
ATOMIC_POSITIONS angstrom
Pr 0.000 0.000 0.000
Mo 3.488 3.488 3.488
Pb 5.232 5.232 5.232
CELL_PARAMETERS angstrom
0.000 3.488 3.488
3.488 0.000 3.488
3.488 3.488 0.000
```

(8)
DFT (PBE) results for LiOsNO after structural relaxation. Values from VASP.

Energy above the most stable polymorph in this dataset, eV/atom: 0.103

Cell and atoms, written as Quantum ESPRESSO input:
```
&SYSTEM
  ibrav = 0, nat = 4, ntyp = 4
/
ATOMIC_SPECIES
Li 6.94 Li.upf
Os 190.23 Os.upf
N 14.01 N.upf
O 16.00 O.upf
ATOMIC_POSITIONS angstrom
Li 0.000 0.000 0.000
Os 1.464 1.464 2.068
N 0.000 0.000 2.068
O 1.464 1.464 0.000
CELL_PARAMETERS angstrom
2.929 0.000 0.000
0.000 2.929 0.000
0.000 0.000 4.136
```

(9)
DFT (PBE) results for Lu2GeW after structural relaxation. Values from VASP.

VASP energy, eV per atom: -6.4052

Cell and atoms, written as Quantum ESPRESSO input:
```
&SYSTEM
  ibrav = 0, nat = 4, ntyp = 3
/
ATOMIC_SPECIES
Lu 174.97 Lu.upf
Ge 72.64 Ge.upf
W 183.84 W.upf
ATOMIC_POSITIONS angstrom
Lu 0.000 0.000 0.000
Lu 1.709 1.709 1.709
Ge 3.417 3.417 3.417
W 5.126 5.126 5.126
CELL_PARAMETERS angstrom
0.000 3.417 3.417
3.417 0.000 3.417
3.417 3.417 0.000
```

(10)
DFT (PBE) results for PrCoTc after structural relaxation. Values from VASP.

Formation enthalpy at 0 K, eV per atom: 1.369

Cell and atoms, written as Quantum ESPRESSO input:
```
&SYSTEM
  ibrav = 0, nat = 3, ntyp = 3
/
ATOMIC_SPECIES
Pr 140.91 Pr.upf
Co 58.93 Co.upf
Tc 98.00 Tc.upf
ATOMIC_POSITIONS angstrom
Pr 0.000 0.000 0.000
Co 4.769 4.769 4.769
Tc 1.590 1.590 1.590
CELL_PARAMETERS angstrom
0.000 3.179 3.179
3.179 0.000 3.179
3.179 3.179 0.000
```

(11)
DFT (PBE) results for Pr2Sm2BBr5 after structural relaxation. Values from VASP.

VASP energy, eV per atom: -4.8114

Cell and atoms, written as Quantum ESPRESSO input:
```
&SYSTEM
  ibrav = 0, nat = 10, ntyp = 4
/
ATOMIC_SPECIES
Pr 140.91 Pr.upf
Sm 150.36 Sm.upf
B 10.81 B.upf
Br 79.90 Br.upf
ATOMIC_POSITIONS angstrom
Pr -0.525 0.000 2.387
Pr 17.107 0.000 5.958
Sm 5.786 0.000 3.541
Sm 10.796 0.000 4.805
B 8.291 0.000 4.173
Br 1.486 0.000 6.935
Br 2.544 0.000 2.843
Br 9.251 0.000 0.000
Br 14.038 0.000 5.502
Br 15.096 0.000 1.410
CELL_PARAMETERS angstrom
9.251 -2.032 0.000
9.251 2.032 0.000
-1.919 0.000 8.346
```

(12)
DFT (PBE) results for CsLuCoTe3 after structural relaxation. Values from VASP.

Energy above the most stable polymorph in this dataset, eV/atom: 0.105

Cell and atoms, written as Quantum ESPRESSO input:
```
&SYSTEM
  ibrav = 0, nat = 24, ntyp = 4
/
ATOMIC_SPECIES
Cs 132.91 Cs.upf
Lu 174.97 Lu.upf
Co 58.93 Co.upf
Te 127.60 Te.upf
ATOMIC_POSITIONS angstrom
Cs 0.411 1.097 2.548
Cs 5.327 3.290 10.510
Cs 6.149 1.097 5.415
Cs 11.064 3.290 13.377
Lu 1.677 3.290 6.998
Lu 4.061 1.097 14.961
Lu 7.415 3.290 0.964
Lu 9.798 1.097 8.927
Co 1.704 1.097 10.003
Co 4.034 3.290 2.040
Co 7.442 1.097 13.885
Co 9.771 3.290 5.922
Te 0.343 3.290 9.761
Te 2.330 3.290 0.085
Te 2.687 1.097 12.319
Te 3.051 3.290 4.356
Te 3.408 1.097 8.048
Te 5.394 1.097 1.799
Te 6.081 3.290 14.126
Te 8.067 3.290 7.877
Te 8.425 1.097 11.569
Te 8.788 3.290 3.606
Te 9.145 1.097 15.840
Te 11.132 1.097 6.164
CELL_PARAMETERS angstrom
11.475 0.000 0.000
0.000 4.387 0.000
0.000 0.000 15.925
```

(13)
DFT (PBE) results for RbCoAs after structural relaxation. Values from VASP.

VASP energy, eV per atom: -3.4974

Cell and atoms, written as Quantum ESPRESSO input:
```
&SYSTEM
  ibrav = 0, nat = 3, ntyp = 3
/
ATOMIC_SPECIES
Rb 85.47 Rb.upf
Co 58.93 Co.upf
As 74.92 As.upf
ATOMIC_POSITIONS angstrom
Rb 0.000 0.000 0.000
Co 4.968 4.968 4.968
As 3.312 3.312 3.312
CELL_PARAMETERS angstrom
0.000 3.312 3.312
3.312 0.000 3.312
3.312 3.312 0.000
```

(14)
DFT (PBE) results for PrMg after structural relaxation. Values from VASP.

Energy above the most stable polymorph in this dataset, eV/atom: 0.116

Cell and atoms, written as Quantum ESPRESSO input:
```
&SYSTEM
  ibrav = 0, nat = 12, ntyp = 2
/
ATOMIC_SPECIES
Pr 140.91 Pr.upf
Mg 24.30 Mg.upf
ATOMIC_POSITIONS angstrom
Pr -0.001 1.371 1.170
Pr 0.358 1.371 6.538
Pr 1.988 4.112 1.682
Pr 3.892 1.371 6.860
Pr 5.522 4.112 2.004
Pr 5.881 4.112 7.372
Mg 0.208 4.112 4.482
Mg 2.374 1.371 3.727
Mg 2.053 4.112 7.500
Mg 3.827 1.371 1.043
Mg 3.505 4.112 4.815
Mg 5.671 1.371 4.061
CELL_PARAMETERS angstrom
7.667 0.000 0.000
0.000 5.483 0.000
-1.787 0.000 8.542
```

(15)
DFT (PBE) results for Li2Sc2Al2IrAu after structural relaxation. Values from VASP.

VASP energy, eV per atom: -5.1915

Cell and atoms, written as Quantum ESPRESSO input:
```
&SYSTEM
  ibrav = 0, nat = 8, ntyp = 5
/
ATOMIC_SPECIES
Li 6.94 Li.upf
Sc 44.96 Sc.upf
Al 26.98 Al.upf
Ir 192.22 Ir.upf
Au 196.97 Au.upf
ATOMIC_POSITIONS angstrom
Li 0.000 0.000 0.000
Li 2.244 2.244 3.210
Sc 0.000 2.244 1.548
Sc 2.244 0.000 4.873
Al 0.000 2.244 4.927
Al 2.244 0.000 1.494
Ir 2.244 2.244 0.000
Au 0.000 0.000 3.210
CELL_PARAMETERS angstrom
4.489 0.000 0.000
0.000 4.489 0.000
0.000 0.000 6.421
```

(16)
DFT (PBE) results for Ac2Fe after structural relaxation. Values from VASP.

Formation enthalpy at 0 K, eV per atom: 0.249
Energy above the most stable polymorph in this dataset, eV/atom: 0.000

Cell and atoms, written as Quantum ESPRESSO input:
```
&SYSTEM
  ibrav = 0, nat = 6, ntyp = 2
/
ATOMIC_SPECIES
Ac 227.00 Ac.upf
Fe 55.84 Fe.upf
ATOMIC_POSITIONS angstrom
Ac 1.364 1.364 0.000
Ac 2.037 4.765 2.169
Ac 4.765 2.037 2.169
Ac 5.438 5.438 0.000
Fe 0.000 0.000 2.169
Fe 3.401 3.401 0.000
CELL_PARAMETERS angstrom
6.802 0.000 0.000
0.000 6.802 0.000
0.000 0.000 4.338
```

(17)
DFT (PBE) results for Tb2HoTc after structural relaxation. Values from VASP.

Formation enthalpy at 0 K, eV per atom: -0.097

Cell and atoms, written as Quantum ESPRESSO input:
```
&SYSTEM
  ibrav = 0, nat = 8, ntyp = 3
/
ATOMIC_SPECIES
Tb 158.93 Tb.upf
Ho 164.93 Ho.upf
Tc 98.00 Tc.upf
ATOMIC_POSITIONS angstrom
Tb 1.952 4.239 5.202
Tb 1.952 4.239 8.572
Tb 1.952 -4.239 0.611
Tb 1.952 -4.239 3.981
Ho 1.952 0.875 6.887
Ho 1.952 -0.875 2.296
Tc 1.952 3.099 2.296
Tc 1.952 -3.099 6.887
CELL_PARAMETERS angstrom
1.952 -5.942 0.000
1.952 5.942 0.000
0.000 0.000 9.183
```

(18)
DFT (PBE) results for TlPdAuO3 after structural relaxation. Values from VASP.

VASP energy, eV per atom: -4.5410

Cell and atoms, written as Quantum ESPRESSO input:
```
&SYSTEM
  ibrav = 0, nat = 24, ntyp = 4
/
ATOMIC_SPECIES
Tl 204.38 Tl.upf
Pd 106.42 Pd.upf
Au 196.97 Au.upf
O 16.00 O.upf
ATOMIC_POSITIONS angstrom
Tl 2.108 0.801 1.236
Tl 2.918 2.402 6.421
Tl 7.135 0.801 3.950
Tl 7.944 2.402 9.135
Pd 0.381 2.402 3.938
Pd 4.645 0.801 9.123
Pd 5.407 2.402 1.248
Pd 9.672 0.801 6.433
Au 0.917 2.402 9.560
Au 4.109 0.801 4.374
Au 5.943 2.402 5.997
Au 9.136 0.801 0.811
O 0.526 2.402 7.360
O 1.140 0.801 5.052
O 2.025 2.402 2.805
O 3.002 0.801 7.991
O 3.886 2.402 10.238
O 4.500 0.801 2.175
O 5.553 2.402 8.196
O 6.166 0.801 0.133
O 7.051 2.402 2.380
O 8.028 0.801 7.566
O 8.912 2.402 5.319
O 9.526 0.801 3.011
CELL_PARAMETERS angstrom
10.053 0.000 0.000
0.000 3.202 0.000
0.000 0.000 10.371
```

(19)
DFT (PBE) results for HoNbN2O after structural relaxation. Values from VASP.

VASP energy, eV per atom: -8.9911

Cell and atoms, written as Quantum ESPRESSO input:
```
&SYSTEM
  ibrav = 0, nat = 10, ntyp = 4
/
ATOMIC_SPECIES
Ho 164.93 Ho.upf
Nb 92.91 Nb.upf
N 14.01 N.upf
O 16.00 O.upf
ATOMIC_POSITIONS angstrom
Ho 1.953 0.162 0.000
Ho 1.953 2.654 2.837
Nb 0.000 0.000 2.780
Nb 3.907 0.000 2.780
N 3.376 1.412 -1.313
N 4.437 -1.405 1.525
N 0.530 1.405 1.525
N 3.376 1.405 1.525
O 1.953 -0.716 2.973
O 1.953 3.532 0.136
CELL_PARAMETERS angstrom
-3.907 2.816 2.837
3.907 -2.816 2.837
3.907 2.816 -2.837
```

(20)
DFT (PBE) results for Sc4Nb2Zn3N3 after structural relaxation. Values from VASP.

VASP energy, eV per atom: -7.1214

Cell and atoms, written as Quantum ESPRESSO input:
```
&SYSTEM
  ibrav = 0, nat = 24, ntyp = 4
/
ATOMIC_SPECIES
Sc 44.96 Sc.upf
Nb 92.91 Nb.upf
Zn 65.41 Zn.upf
N 14.01 N.upf
ATOMIC_POSITIONS angstrom
Sc 0.788 0.441 1.277
Sc 0.751 0.480 5.653
Sc -0.840 -0.441 8.208
Sc -0.878 -0.480 12.584
Sc 7.184 0.480 1.278
Sc 7.147 0.441 5.654
Sc 5.556 -0.480 8.209
Sc 5.518 -0.441 12.585
Nb 3.981 0.465 1.058
Nb 3.954 0.465 5.874
Nb 2.352 -0.465 7.989
Nb 2.326 -0.465 12.805
Zn 3.968 1.999 3.466
Zn 1.008 0.310 10.403
Zn 2.637 -0.310 3.472
Zn 3.670 0.310 10.390
Zn 5.298 -0.310 3.459
Zn 2.339 -1.999 10.397
N 2.391 1.386 0.000
N 2.333 1.428 6.934
N 2.345 1.428 13.860
N 0.762 -1.386 6.931
N 3.962 -1.428 0.002
N 3.973 -1.428 6.929
CELL_PARAMETERS angstrom
4.782 -2.772 0.000
4.782 2.772 0.000
-3.257 0.000 13.862
```

no.,mass density (g/cm3)
1,9.4
2,10.9
3,6.2
4,5.3
5,5.1
6,9.4
7,8.7
8,10.6
9,12.6
10,7.7
11,5.3
12,6.2
13,5.0
14,4.6
15,7.0
16,8.4
17,9.1
18,11.1
19,8.0
20,5.5